# 1
Crystalline ReRhS2N at its relaxed geometry. Source: the Alexandria database, functional PBE.

abc: 4.7293 4.7293 3.6971
angles: 90.00 90.00 90.00
Closest atoms and distances in Å follow each position.
Fractional coordinates of all 5 atoms:
Re  0.0000  0.0000  0.0000  2 N 1.85
S  0.0000  0.5000  0.0000  2 Re 2.36
S  0.5000  0.0000  0.0000  2 Re 2.36
Rh  0.5000  0.5000  0.5000  8 S 3.00, 4 N 3.34
N  0.0000  0.0000  0.5000  2 Re 1.85

Values from the calculation:
- raw formation energy (kJ per mole of atoms) = 63.48
- space group = No. 123
- total magnetic moment (μB/f.u.) = 0.61
- final energy (eV per cell) = -33.1
- calculated volume (Å³ per atom) = 16.54

# 2
Crystalline AcPr5SmDy2 at its relaxed geometry. Source: the Alexandria database, functional PBE.

abc: 5.6438 12.6065 9.5957
angles: 90.00 90.00 102.93
Closest atoms and distances in Å follow each position.
Fractional coordinates of all 18 atoms:
Ac  0.6026  0.2052  0.9262  5 Pr 3.46-3.78
Ac  0.3974  0.7948  0.4262  5 Pr 3.46-3.78
Pr  0.3947  0.7894  0.0325  4 Pr 3.34-3.70, 4 Dy 3.54-3.68
Pr  0.7409  0.4818  0.8587  3 Sm 3.17-3.29, 1 Ac 3.46, 2 Pr 3.54
Pr  0.4756  0.9513  0.7534  3 Pr 3.34-3.61, 2 Ac 3.53-3.68, 2 Dy 3.56
Pr  0.3108  0.6217  0.7248  3 Dy 3.43-3.45, 3 Sm 3.50-3.55, 4 Pr 3.54-3.74, 1 Ac 3.57
Pr  0.0081  0.0162  0.5338  2 Dy 3.48-3.82, 4 Pr 3.61-3.70
Pr  0.6053  0.2106  0.5325  4 Pr 3.34-3.70, 4 Dy 3.54-3.68
Pr  0.2591  0.5182  0.3587  3 Sm 3.17-3.29, 1 Ac 3.46, 2 Pr 3.54
Pr  0.5244  0.0487  0.2534  3 Pr 3.34-3.61, 2 Ac 3.53-3.68, 2 Dy 3.56
Pr  0.6892  0.3783  0.2248  3 Dy 3.43-3.45, 3 Sm 3.50-3.55, 4 Pr 3.54-3.74, 1 Ac 3.57
Pr  0.9919  0.9838  0.0338  2 Dy 3.48-3.82, 4 Pr 3.61-3.70
Sm  0.7645  0.5290  0.5342  4 Pr 3.17-3.50
Sm  0.2355  0.4710  0.0342  4 Pr 3.17-3.50
Dy  0.8880  0.7761  0.7868  9 Pr 3.45-3.82
Dy  0.1728  0.3456  0.6736  6 Pr 3.43-3.73, 1 Sm 3.79
Dy  0.1120  0.2239  0.2868  9 Pr 3.45-3.82
Dy  0.8272  0.6544  0.1736  6 Pr 3.43-3.73, 1 Sm 3.79

Values from the calculation:
- space group = No. 36
- total magnetic moment (μB/f.u.) = 0.00
- DFT formation energy (kcal/mol of atoms) = 3.2
- final energy (eV per cell) = -81.3
- calculated volume (Å³ per atom) = 36.97

# 3
Crystalline Mg2ZrRe at its relaxed geometry. Source: the Alexandria database, functional PBE.

abc: 4.7875 2.8120 5.7359
angles: 73.94 90.00 90.00
Closest atoms and distances in Å follow each position.
Fractional coordinates of all 4 atoms:
Mg  0.0000  0.0504  0.0187  4 Mg 2.72-2.97, 2 Re 2.87
Mg  0.0000  0.4496  0.4813  4 Mg 2.72-2.97, 2 Re 2.87
Re  0.5000  0.2500  0.2500  2 Re 2.81, 2 Zr 2.82, 4 Mg 2.87
Zr  0.5000  0.7500  0.7500  2 Zr 2.81, 2 Re 2.82, 4 Mg 3.09

Values from the calculation:
- space group = No. 10
- total magnetic moment (μB/f.u.) = 0.00
- DFT formation energy (kcal/mol of atoms) = 3.9
- final energy (eV per cell) = -23.5
- calculated volume (Å³ per atom) = 18.55

# 4
Crystalline PmDy4Y2 at its relaxed geometry. Source: the Alexandria database, functional PBE.

abc: 6.1585 6.5600 11.6706
angles: 90.00 106.89 90.00
Closest atoms and distances in Å follow each position.
Fractional coordinates of all 14 atoms:
Pm  0.1804  0.7500  0.1418  6 Dy 3.33-3.47, 2 Y 3.39-3.47
Pm  0.8196  0.2500  0.8582  6 Dy 3.33-3.47, 2 Y 3.39-3.47
Dy  0.6426  0.4919  0.2886  4 Dy 3.17-3.45, 1 Pm 3.33, 1 Y 3.45
Dy  0.9914  0.7500  0.8399  2 Y 3.30-3.44, 3 Pm 3.37-3.47, 2 Dy 3.44
Dy  0.0086  0.2500  0.1601  2 Y 3.30-3.44, 3 Pm 3.37-3.47, 2 Dy 3.44
Dy  0.6426  0.0081  0.2886  4 Dy 3.17-3.45, 1 Pm 3.33, 1 Y 3.45
Dy  0.8631  0.2500  0.5737  4 Y 3.36-3.42, 1 Pm 3.41, 4 Dy 3.45-3.58
Dy  0.3574  0.9919  0.7114  4 Dy 3.17-3.45, 1 Pm 3.33, 1 Y 3.45
Dy  0.3574  0.5081  0.7114  4 Dy 3.17-3.45, 1 Pm 3.33, 1 Y 3.45
Dy  0.1369  0.7500  0.4263  4 Y 3.36-3.42, 1 Pm 3.41, 4 Dy 3.45-3.58
Y  0.6135  0.7500  0.0068  2 Pm 3.39-3.47, 6 Dy 3.44-3.76, 2 Y 3.55
Y  0.3865  0.2500  0.9932  2 Pm 3.39-3.47, 6 Dy 3.44-3.76, 2 Y 3.55
Y  0.2979  0.2500  0.4469  9 Dy 3.30-3.57
Y  0.7021  0.7500  0.5531  9 Dy 3.30-3.57

Values from the calculation:
- space group = No. 11
- total magnetic moment (μB/f.u.) = 0.00
- DFT formation energy (kcal/mol of atoms) = 2.9
- final energy (eV per cell) = -70.4
- calculated volume (Å³ per atom) = 32.22

# 5
Crystalline TlRe3Tc at its relaxed geometry. Source: the Alexandria database, functional PBE.

abc: 4.7354 4.7354 4.7354
angles: 90.00 90.00 90.00
Closest atoms and distances in Å follow each position.
Fractional coordinates of all 5 atoms:
Re  0.0000  0.5000  0.0000  2 Tc 2.37
Re  0.0000  0.0000  0.5000  2 Tc 2.37
Re  0.5000  0.0000  0.0000  2 Tc 2.37
Tl  0.5000  0.5000  0.5000  12 Re 3.35
Tc  0.0000  0.0000  0.0000  6 Re 2.37

Values from the calculation:
- space group = No. 221
- total magnetic moment (μB/f.u.) = 2.23
- DFT formation energy (kcal/mol of atoms) = 48.0
- final energy (eV per cell) = -39.7
- calculated volume (Å³ per atom) = 21.24

# 6
Crystalline NaPmIr at its relaxed geometry. Source: the Alexandria database, functional PBE.

abc: 4.7019 4.7019 7.4131
angles: 80.44 80.44 89.14
Closest atoms and distances in Å follow each position.
Fractional coordinates of all 6 atoms:
Na  0.6772  0.6772  0.2832  4 Ir 3.11-3.12, 4 Pm 3.33-3.39
Na  0.3228  0.3228  0.7168  4 Ir 3.11-3.12, 4 Pm 3.33-3.39
Pm  0.8053  0.8053  0.7781  4 Ir 2.84
Pm  0.1947  0.1947  0.2219  4 Ir 2.84
Ir  0.7518  0.2482  0.0000  4 Pm 2.84, 4 Na 3.11-3.12
Ir  0.2482  0.7518  0.0000  4 Pm 2.84, 4 Na 3.11-3.12

Values from the calculation:
- space group = No. 12
- total magnetic moment (μB/f.u.) = 0.00
- DFT formation energy (kcal/mol of atoms) = -1.9
- final energy (eV per cell) = -30.4
- calculated volume (Å³ per atom) = 26.56

# 7
Crystalline AcScCuPb at its relaxed geometry. Source: the Alexandria database, functional PBE.

abc: 5.3545 5.3545 5.3545
angles: 60.00 60.00 60.00
Closest atoms and distances in Å follow each position.
Fractional coordinates of all 4 atoms:
Pb  0.7500  0.7500  0.7500  4 Ac 3.28, 4 Sc 3.28
Sc  0.5000  0.5000  0.5000  4 Pb 3.28, 4 Cu 3.28
Ac  0.0000  0.0000  0.0000  4 Pb 3.28, 4 Cu 3.28
Cu  0.2500  0.2500  0.2500  4 Ac 3.28, 4 Sc 3.28

Values from the calculation:
- space group = No. 216
- total magnetic moment (μB/f.u.) = 0.63
- DFT formation energy (kcal/mol of atoms) = -3.6
- final energy (eV per cell) = -18.9
- calculated volume (Å³ per atom) = 27.14

# 8
Crystalline Cd3CuH2Pd9 at its relaxed geometry. Source: the Alexandria database, functional PBE.

abc: 5.7157 5.7157 8.1082
angles: 90.00 90.00 120.00
Closest atoms and distances in Å follow each position.
Fractional coordinates of all 15 atoms:
Cd  0.3333  0.6667  0.6224  9 Pd 2.95-3.17
Cd  0.0000  0.0000  0.0000  12 Pd 2.86-2.87
Cd  0.6667  0.3333  0.3776  9 Pd 2.95-3.17
Cu  0.0000  0.0000  0.5000  6 Pd 2.43
H  0.3333  0.6667  0.1223  6 Pd 1.93-2.08
H  0.6667  0.3333  0.8777  6 Pd 1.93-2.08
Pd  0.8283  0.1717  0.7146  1 H 2.08
Pd  0.8283  0.6567  0.7146  1 H 2.08
Pd  0.3433  0.1717  0.7146  1 H 2.08
Pd  0.6567  0.8283  0.2854  1 H 2.08
Pd  0.1717  0.3433  0.2854  1 H 2.08
Pd  0.1717  0.8283  0.2854  1 H 2.08
Pd  0.5000  0.0000  0.0000  2 H 1.93
Pd  0.0000  0.5000  0.0000  2 H 1.93
Pd  0.5000  0.5000  0.0000  2 H 1.93

Values from the calculation:
- space group = No. 164
- total magnetic moment (μB/f.u.) = 0.00
- final energy (eV per cell) = -62.2
- calculated volume (Å³ per atom) = 15.29

# 9
Crystalline Sr2SbPd4Pb3 at its relaxed geometry. Source: the Alexandria database, functional PBE.

abc: 4.8550 4.8550 10.8125
angles: 90.00 90.00 90.00
Closest atoms and distances in Å follow each position.
Fractional coordinates of all 10 atoms:
Sr  0.5000  0.0000  0.2441  8 Pd 3.59-3.71, 7 Pb 3.68-3.94, 2 Sb 3.68
Sr  0.0000  0.5000  0.7559  8 Pd 3.59-3.71, 7 Pb 3.68-3.94, 2 Sb 3.68
Sb  0.5000  0.5000  0.5000  4 Pd 2.79
Pd  0.5000  0.5000  0.0000  4 Pb 2.76
Pd  0.0000  0.0000  0.0000  4 Pb 2.76
Pd  0.5000  0.0000  0.6263  3 Pb 2.74-2.79, 2 Sb 2.79
Pd  0.0000  0.5000  0.3737  3 Pb 2.74-2.79, 2 Sb 2.79
Pb  0.0000  0.0000  0.5000  4 Pd 2.79
Pb  0.5000  0.0000  0.8794  5 Pd 2.74-2.76
Pb  0.0000  0.5000  0.1206  5 Pd 2.74-2.76

Values from the calculation:
- raw formation energy (kJ per mole of atoms) = -52.13
- space group = No. 115
- total magnetic moment (μB/f.u.) = 0.00
- final energy (eV per cell) = -44.8
- calculated volume (Å³ per atom) = 25.49

# 10
Crystalline LaGdTc at its relaxed geometry. Source: the Alexandria database, functional PBE.

abc: 3.5048 3.5048 7.1382
angles: 104.21 104.21 90.00
Closest atoms and distances in Å follow each position.
Fractional coordinates of all 3 atoms:
Gd  0.0417  0.0417  0.0833  4 Tc 2.97
Tc  0.6640  0.6640  0.3281  4 Gd 2.97, 4 La 3.03
La  0.2943  0.2943  0.5886  4 Tc 3.03, 1 Gd 3.38

Values from the calculation:
- space group = No. 107
- total magnetic moment (μB/f.u.) = 7.26
- DFT formation energy (kcal/mol of atoms) = 1.0
- final energy (eV per cell) = -29.2
- calculated volume (Å³ per atom) = 27.41